Record 1
An optimized crystal structure of Na2HfAg2. Source: Alexandria, functional PBE-GGA.

```
data_Na2HfAg2
_symmetry_space_group_name_H-M 'P 4/m b m'
_symmetry_Int_Tables_number 127
_symmetry_space_group_name_Hall '-P 4 2ab'
_cell_length_a 8.6316
_cell_length_b 8.6316
_cell_length_c 2.9262
_cell_angle_alpha 90.00
_cell_angle_beta 90.00
_cell_angle_gamma 90.00
loop_
_atom_site_label
_atom_site_fract_x
_atom_site_fract_y
_atom_site_fract_z
Na1 0.1251 0.3749 0.0000
Hf1 0.0000 0.0000 0.5000
Ag1 0.1770 0.6770 0.5000
```

- raw total energy (eV/atom) = -3.2917
- calculated density (Mg/m³) = 6.71
- formation enthalpy at 0 K (meV per atom) = 367

Record 2
An optimized crystal structure of Zn2AgP2. Source: Alexandria, functional PBE-GGA.

```
data_Zn2AgP2
_symmetry_space_group_name_H-M 'I 4/m m m'
_symmetry_Int_Tables_number 139
_symmetry_space_group_name_Hall '-I 4 2'
_cell_length_a 3.8624
_cell_length_b 3.8624
_cell_length_c 11.5360
_cell_angle_alpha 90.00
_cell_angle_beta 90.00
_cell_angle_gamma 90.00
loop_
_atom_site_label
_atom_site_fract_x
_atom_site_fract_y
_atom_site_fract_z
Zn1 0.0000 0.0000 0.1057
Ag1 0.0000 0.0000 0.5000
P1 0.0000 0.5000 0.2500
```

- raw total energy (eV/atom) = -2.9487
- calculated density (Mg/m³) = 5.80
- relative energy among the computed polymorphs (eV per atom) = 0.1443
- formation enthalpy at 0 K (meV per atom) = 295

Record 3
An optimized crystal structure of Tl2FeSe. Source: Alexandria, functional PBE-GGA.

```
data_Tl2FeSe
_symmetry_space_group_name_H-M 'C m m m'
_symmetry_Int_Tables_number 65
_symmetry_space_group_name_Hall '-C 2 2'
_cell_length_a 4.4963
_cell_length_b 12.4736
_cell_length_c 4.0493
_cell_angle_alpha 90.00
_cell_angle_beta 90.00
_cell_angle_gamma 90.00
loop_
_atom_site_label
_atom_site_fract_x
_atom_site_fract_y
_atom_site_fract_z
Tl1 0.0000 0.1528 0.0000
Fe1 0.0000 0.0000 0.5000
Se1 0.0000 0.5000 0.5000
```

- raw total energy (eV/atom) = -4.0491
- calculated density (Mg/m³) = 7.95
- relative energy among the computed polymorphs (eV per atom) = 0.0325
- energy relative to the elements, uncorrected (eV/atom) = 0.121

Record 4
An optimized crystal structure of Nb2Pd3Au. Source: Alexandria, functional PBE-GGA.

```
data_Nb2Pd3Au
_symmetry_space_group_name_H-M 'C 1 2/c 1'
_symmetry_Int_Tables_number 15
_cell_length_a 7.1656
_cell_length_b 7.9130
_cell_length_c 7.1322
_cell_angle_alpha 90.00
_cell_angle_beta 100.55
_cell_angle_gamma 90.00
loop_
_symmetry_equiv_pos_as_xyz
'x,y,z'
'-x,-y,-z'
'-x,y,-z+1/2'
'x,-y,z+1/2'
'x+1/2,y+1/2,z'
'-x+1/2,-y+1/2,-z'
'-x+1/2,y+1/2,-z+1/2'
'x+1/2,-y+1/2,z+1/2'
loop_
_atom_site_label
_atom_site_fract_x
_atom_site_fract_y
_atom_site_fract_z
Nb1 0.1244 0.2453 0.1257
Pd1 0.0000 0.0859 0.7500
Pd2 0.2454 0.0841 0.4979
Au1 0.0000 0.4204 0.7500
```

- raw total energy (eV/atom) = -6.7259
- calculated density (Mg/m³) = 11.73
- formation enthalpy at 0 K (meV per atom) = -227

Record 5
An optimized crystal structure of YSc2Hg. Source: Alexandria, functional PBE-GGA.

```
data_YSc2Hg
_symmetry_space_group_name_H-M 'R -3 m'
_symmetry_Int_Tables_number 166
_symmetry_space_group_name_Hall '-R 3 2"'
_cell_length_a 3.3385
_cell_length_b 3.3385
_cell_length_c 33.1550
_cell_angle_alpha 90.00
_cell_angle_beta 90.00
_cell_angle_gamma 120.00
loop_
_atom_site_label
_atom_site_fract_x
_atom_site_fract_y
_atom_site_fract_z
Y1 0.0000 0.0000 0.0000
Sc1 0.0000 0.0000 0.0967
Hg1 0.0000 0.0000 0.5000
```

- raw total energy (eV/atom) = -4.7484
- calculated density (Mg/m³) = 5.91
- formation enthalpy at 0 K (meV per atom) = 109

Record 6
An optimized crystal structure of SrCrMo2. Source: Alexandria, functional PBE-GGA.

```
data_SrCrMo2
_symmetry_space_group_name_H-M 'C 1 2/m 1'
_symmetry_Int_Tables_number 12
_cell_length_a 8.1259
_cell_length_b 3.9063
_cell_length_c 6.3318
_cell_angle_alpha 90.00
_cell_angle_beta 111.46
_cell_angle_gamma 90.00
loop_
_symmetry_equiv_pos_as_xyz
'x,y,z'
'-x,-y,-z'
'-x,y,-z'
'x,-y,z'
'x+1/2,y+1/2,z'
'-x+1/2,-y+1/2,-z'
'-x+1/2,y+1/2,-z'
'x+1/2,-y+1/2,z'
loop_
_atom_site_label
_atom_site_fract_x
_atom_site_fract_y
_atom_site_fract_z
Sr1 0.0000 0.0000 0.0000
Cr1 0.0000 0.5000 0.5000
Mo1 0.1857 0.0000 0.5833
```

- raw total energy (eV/atom) = -7.4765
- calculated density (Mg/m³) = 5.89
- relative energy among the computed polymorphs (eV per atom) = 0.0997
- formation enthalpy at 0 K (meV per atom) = 765

Record 7
An optimized crystal structure of Y6HfS8. Source: Alexandria, functional PBE-GGA.

```
data_Y6HfS8
_symmetry_space_group_name_H-M 'F m -3 m'
_symmetry_Int_Tables_number 225
_symmetry_space_group_name_Hall '-F 4 2 3'
_cell_length_a 10.9840
_cell_length_b 10.9840
_cell_length_c 10.9840
_cell_angle_alpha 90.00
_cell_angle_beta 90.00
_cell_angle_gamma 90.00
loop_
_atom_site_label
_atom_site_fract_x
_atom_site_fract_y
_atom_site_fract_z
Y1 0.0000 0.2500 0.2500
Hf1 0.0000 0.0000 0.0000
S1 0.0000 0.0000 0.2419
S2 0.2500 0.2500 0.2500
```

- raw total energy (eV/atom) = -7.3986
- calculated density (Mg/m³) = 4.85
- energy relative to the elements, uncorrected (eV/atom) = -1.948

Record 8
An optimized crystal structure of CaLa2Au8. Source: Alexandria, functional PBE-GGA.

```
data_CaLa2Au8
_symmetry_space_group_name_H-M 'C 1 2/m 1'
_symmetry_Int_Tables_number 12
_cell_length_a 7.9911
_cell_length_b 15.5497
_cell_length_c 5.3140
_cell_angle_alpha 90.00
_cell_angle_beta 129.70
_cell_angle_gamma 90.00
loop_
_symmetry_equiv_pos_as_xyz
'x,y,z'
'-x,-y,-z'
'-x,y,-z'
'x,-y,z'
'x+1/2,y+1/2,z'
'-x+1/2,-y+1/2,-z'
'-x+1/2,y+1/2,-z'
'x+1/2,-y+1/2,z'
loop_
_atom_site_label
_atom_site_fract_x
_atom_site_fract_y
_atom_site_fract_z
Ca1 0.0000 0.0000 0.0000
La1 0.0000 0.3149 0.5000
Au1 0.0000 0.1994 0.0000
Au2 0.0056 0.5000 0.2558
Au3 0.2270 0.1296 0.7420
```

- raw total energy (eV/atom) = -4.1528
- calculated density (Mg/m³) = 12.38
- formation enthalpy at 0 K (meV per atom) = -691